1.
# GGA-PBE GdNiSnPd, relaxed
data_GdNiSnPd
_chemical_formula_sum 'Gd4 Ni4 Sn4 Pd4'
_space_group_name_H-M_alt 'F -4 3 m'
_space_group_IT_number 216
_space_group_name_Hall 'F -4 2 3'
_cell_length_a 6.710
_cell_length_b 6.710
_cell_length_c 6.710
_cell_angle_alpha 90.00
_cell_angle_beta 90.00
_cell_angle_gamma 90.00
loop_
_atom_site_label
_atom_site_fract_x
_atom_site_fract_y
_atom_site_fract_z
Gd1 0.000 0.000 0.000
Ni1 0.250 0.250 0.750
Sn1 0.000 0.000 0.500
Pd1 0.250 0.250 0.250
# Calculated density in g cm⁻³: 9.70
# Energy of formation from the pure elements in meV/atom: -610.0
# Density of states at the Fermi level in states/eV/atom: 0.83

2.
# GGA-PBE GdYNiPd, relaxed
data_GdYNiPd
_chemical_formula_sum 'Gd4 Y4 Ni4 Pd4'
_space_group_name_H-M_alt 'F -4 3 m'
_space_group_IT_number 216
_space_group_name_Hall 'F -4 2 3'
_cell_length_a 6.957
_cell_length_b 6.957
_cell_length_c 6.957
_cell_angle_alpha 90.00
_cell_angle_beta 90.00
_cell_angle_gamma 90.00
loop_
_atom_site_label
_atom_site_fract_x
_atom_site_fract_y
_atom_site_fract_z
Gd1 0.000 0.000 0.000
Y1 0.000 0.000 0.500
Ni1 0.250 0.250 0.750
Pd1 0.250 0.250 0.250
# Calculated density in g cm⁻³: 8.11
# Energy of formation from the pure elements in meV/atom: -583.6
# Density of states at the Fermi level in states/eV/atom: 0.96

3.
# GGA-PBE GdZnNiPd, relaxed
data_GdZnNiPd
_chemical_formula_sum 'Gd4 Zn4 Ni4 Pd4'
_space_group_name_H-M_alt 'F -4 3 m'
_space_group_IT_number 216
_space_group_name_Hall 'F -4 2 3'
_cell_length_a 6.537
_cell_length_b 6.537
_cell_length_c 6.537
_cell_angle_alpha 90.00
_cell_angle_beta 90.00
_cell_angle_gamma 90.00
loop_
_atom_site_label
_atom_site_fract_x
_atom_site_fract_y
_atom_site_fract_z
Gd1 0.000 0.000 0.000
Zn1 0.000 0.000 0.500
Ni1 0.250 0.250 0.750
Pd1 0.250 0.250 0.250
# Calculated density in g cm⁻³: 9.22
# Energy of formation from the pure elements in meV/atom: -447.2
# Density of states at the Fermi level in states/eV/atom: 0.56

4.
# GGA-PBE PmGdNi2, relaxed
data_PmGdNi2
_chemical_formula_sum 'Pm4 Gd4 Ni8'
_space_group_name_H-M_alt 'F m -3 m'
_space_group_IT_number 225
_space_group_name_Hall '-F 4 2 3'
_cell_length_a 6.880
_cell_length_b 6.880
_cell_length_c 6.880
_cell_angle_alpha 90.00
_cell_angle_beta 90.00
_cell_angle_gamma 90.00
loop_
_atom_site_label
_atom_site_fract_x
_atom_site_fract_y
_atom_site_fract_z
Pm1 0.000 0.000 0.000
Gd1 0.000 0.000 0.500
Ni1 0.250 0.250 0.250
# Calculated density in g cm⁻³: 8.56
# ΔE to the lowest computed polymorph in kcal/mol of atoms: 0.00
# Energy of formation from the pure elements in meV/atom: -295.5
# Density of states at the Fermi level in states/eV/atom: 1.06

5.
# GGA-PBE PmGdNi2, relaxed
data_PmGdNi2
_chemical_formula_sum 'Pm1 Gd1 Ni2'
_space_group_name_H-M_alt 'P 4/m m m'
_space_group_IT_number 123
_space_group_name_Hall '-P 4 2'
_cell_length_a 3.442
_cell_length_b 3.442
_cell_length_c 6.865
_cell_angle_alpha 90.00
_cell_angle_beta 90.00
_cell_angle_gamma 90.00
loop_
_atom_site_label
_atom_site_fract_x
_atom_site_fract_y
_atom_site_fract_z
Pm1 0.000 0.000 0.000
Gd1 0.000 0.000 0.500
Ni1 0.500 0.500 0.258
# Calculated density in g cm⁻³: 8.57
# ΔE to the lowest computed polymorph in kcal/mol of atoms: 0.07
# Energy of formation from the pure elements in meV/atom: -292.5
# Density of states at the Fermi level in states/eV/atom: 1.02

6.
# GGA-PBE Pm3GdNi, relaxed
data_Pm3GdNi
_chemical_formula_sum 'Pm3 Gd1 Ni1'
_space_group_name_H-M_alt 'P m -3 m'
_space_group_IT_number 221
_space_group_name_Hall '-P 4 2 3'
_cell_length_a 5.449
_cell_length_b 5.449
_cell_length_c 5.449
_cell_angle_alpha 90.00
_cell_angle_beta 90.00
_cell_angle_gamma 90.00
loop_
_atom_site_label
_atom_site_fract_x
_atom_site_fract_y
_atom_site_fract_z
Pm1 0.000 0.000 0.500
Gd1 0.500 0.500 0.500
Ni1 0.000 0.000 0.000
# Calculated density in g cm⁻³: 6.68
# Energy of formation from the pure elements in meV/atom: 8.0
# Density of states at the Fermi level in states/eV/atom: 1.78

7.
# GGA-PBE PmGdNiRh, relaxed
data_PmGdNiRh
_chemical_formula_sum 'Pm4 Gd4 Ni4 Rh4'
_space_group_name_H-M_alt 'F -4 3 m'
_space_group_IT_number 216
_space_group_name_Hall 'F -4 2 3'
_cell_length_a 6.946
_cell_length_b 6.946
_cell_length_c 6.946
_cell_angle_alpha 90.00
_cell_angle_beta 90.00
_cell_angle_gamma 90.00
loop_
_atom_site_label
_atom_site_fract_x
_atom_site_fract_y
_atom_site_fract_z
Pm1 0.000 0.000 0.000
Gd1 0.000 0.000 0.500
Ni1 0.250 0.250 0.250
Rh1 0.250 0.250 0.750
# Calculated density in g cm⁻³: 9.19
# Energy of formation from the pure elements in meV/atom: -519.7
# Density of states at the Fermi level in states/eV/atom: 0.72

8.
# GGA-PBE PmGdNiRu, relaxed
data_PmGdNiRu
_chemical_formula_sum 'Pm4 Gd4 Ni4 Ru4'
_space_group_name_H-M_alt 'F -4 3 m'
_space_group_IT_number 216
_space_group_name_Hall 'F -4 2 3'
_cell_length_a 6.909
_cell_length_b 6.909
_cell_length_c 6.909
_cell_angle_alpha 90.00
_cell_angle_beta 90.00
_cell_angle_gamma 90.00
loop_
_atom_site_label
_atom_site_fract_x
_atom_site_fract_y
_atom_site_fract_z
Pm1 0.000 0.000 0.000
Gd1 0.000 0.000 0.500
Ni1 0.250 0.250 0.250
Ru1 0.250 0.250 0.750
# Calculated density in g cm⁻³: 9.30
# Energy of formation from the pure elements in meV/atom: -267.5
# Density of states at the Fermi level in states/eV/atom: 0.86

9.
# GGA-PBE PmGdTcNi, relaxed
data_PmGdTcNi
_chemical_formula_sum 'Pm4 Gd4 Tc4 Ni4'
_space_group_name_H-M_alt 'F -4 3 m'
_space_group_IT_number 216
_space_group_name_Hall 'F -4 2 3'
_cell_length_a 6.912
_cell_length_b 6.912
_cell_length_c 6.912
_cell_angle_alpha 90.00
_cell_angle_beta 90.00
_cell_angle_gamma 90.00
loop_
_atom_site_label
_atom_site_fract_x
_atom_site_fract_y
_atom_site_fract_z
Pm1 0.000 0.000 0.000
Gd1 0.000 0.000 0.500
Tc1 0.250 0.250 0.250
Ni1 0.250 0.250 0.750
# Calculated density in g cm⁻³: 9.23
# Energy of formation from the pure elements in meV/atom: -6.5
# Density of states at the Fermi level in states/eV/atom: 0.83

10.
# GGA-PBE PmGdTlNi, relaxed
data_PmGdTlNi
_chemical_formula_sum 'Pm4 Gd4 Tl4 Ni4'
_space_group_name_H-M_alt 'F -4 3 m'
_space_group_IT_number 216
_space_group_name_Hall 'F -4 2 3'
_cell_length_a 7.373
_cell_length_b 7.373
_cell_length_c 7.373
_cell_angle_alpha 90.00
_cell_angle_beta 90.00
_cell_angle_gamma 90.00
loop_
_atom_site_label
_atom_site_fract_x
_atom_site_fract_y
_atom_site_fract_z
Pm1 0.000 0.000 0.000
Gd1 0.000 0.000 0.500
Tl1 0.250 0.250 0.750
Ni1 0.250 0.250 0.250
# Calculated density in g cm⁻³: 9.37
# Energy of formation from the pure elements in meV/atom: -210.7
# Density of states at the Fermi level in states/eV/atom: 1.08

11.
# GGA-PBE PmGdZnNi, relaxed
data_PmGdZnNi
_chemical_formula_sum 'Pm4 Gd4 Zn4 Ni4'
_space_group_name_H-M_alt 'F -4 3 m'
_space_group_IT_number 216
_space_group_name_Hall 'F -4 2 3'
_cell_length_a 7.082
_cell_length_b 7.082
_cell_length_c 7.082
_cell_angle_alpha 90.00
_cell_angle_beta 90.00
_cell_angle_gamma 90.00
loop_
_atom_site_label
_atom_site_fract_x
_atom_site_fract_y
_atom_site_fract_z
Pm1 0.000 0.000 0.000
Gd1 0.000 0.000 0.500
Zn1 0.250 0.250 0.250
Ni1 0.250 0.250 0.750
# Calculated density in g cm⁻³: 7.97
# Energy of formation from the pure elements in meV/atom: -285.9
# Density of states at the Fermi level in states/eV/atom: 0.82

12.
# GGA-PBE PrGd2Ni, relaxed
data_PrGd2Ni
_chemical_formula_sum 'Pr3 Gd6 Ni3'
_space_group_name_H-M_alt 'R -3 m'
_space_group_IT_number 166
_space_group_name_Hall '-R 3 2"'
_cell_length_a 3.7805
_cell_length_b 3.7805
_cell_length_c 28.3687
_cell_angle_alpha 90.00
_cell_angle_beta 90.00
_cell_angle_gamma 120.00
loop_
_atom_site_label
_atom_site_fract_x
_atom_site_fract_y
_atom_site_fract_z
Pr1 0.0000 0.0000 0.0000
Gd1 0.0000 0.0000 0.2252
Ni1 0.0000 0.0000 0.5000
# Calculated density in g cm⁻³: 7.29
# ΔE to the lowest computed polymorph in kcal/mol of atoms: 1.38
# Energy of formation from the pure elements in meV/atom: -92.1
# Density of states at the Fermi level in states/eV/atom: 1.26

13.
# GGA-PBE Pr2GdNi, relaxed
data_Pr2GdNi
_chemical_formula_sum 'Pr2 Gd1 Ni1'
_space_group_name_H-M_alt 'P 4/m m m'
_space_group_IT_number 123
_space_group_name_Hall '-P 4 2'
_cell_length_a 3.594
_cell_length_b 3.594
_cell_length_c 8.782
_cell_angle_alpha 90.00
_cell_angle_beta 90.00
_cell_angle_gamma 90.00
loop_
_atom_site_label
_atom_site_fract_x
_atom_site_fract_y
_atom_site_fract_z
Pr1 0.000 0.000 0.192
Gd1 0.500 0.500 0.500
Ni1 0.500 0.500 0.000
# Calculated density in g cm⁻³: 7.29
# ΔE to the lowest computed polymorph in kcal/mol of atoms: 0.00
# Energy of formation from the pure elements in meV/atom: -57.2
# Density of states at the Fermi level in states/eV/atom: 1.51

14.
# GGA-PBE PrGd3Ni, relaxed
data_PrGd3Ni
_chemical_formula_sum 'Pr1 Gd3 Ni1'
_space_group_name_H-M_alt 'P m -3 m'
_space_group_IT_number 221
_space_group_name_Hall '-P 4 2 3'
_cell_length_a 5.394
_cell_length_b 5.394
_cell_length_c 5.394
_cell_angle_alpha 90.00
_cell_angle_beta 90.00
_cell_angle_gamma 90.00
loop_
_atom_site_label
_atom_site_fract_x
_atom_site_fract_y
_atom_site_fract_z
Pr1 0.000 0.000 0.000
Gd1 0.000 0.500 0.500
Ni1 0.500 0.500 0.500
# Calculated density in g cm⁻³: 7.10
# Energy of formation from the pure elements in meV/atom: -58.5
# Density of states at the Fermi level in states/eV/atom: 1.43

15.
# GGA-PBE Pr2GdNi, relaxed
data_Pr2GdNi
_chemical_formula_sum 'Pr6 Gd3 Ni3'
_space_group_name_H-M_alt 'R -3 m'
_space_group_IT_number 166
_space_group_name_Hall '-R 3 2"'
_cell_length_a 3.7183
_cell_length_b 3.7183
_cell_length_c 31.7047
_cell_angle_alpha 90.00
_cell_angle_beta 90.00
_cell_angle_gamma 120.00
loop_
_atom_site_label
_atom_site_fract_x
_atom_site_fract_y
_atom_site_fract_z
Pr1 0.0000 0.0000 0.1104
Gd1 0.0000 0.0000 0.0000
Ni1 0.0000 0.0000 0.5000
# Calculated density in g cm⁻³: 6.53
# ΔE to the lowest computed polymorph in kcal/mol of atoms: 4.19
# Energy of formation from the pure elements in meV/atom: 124.7
# Density of states at the Fermi level in states/eV/atom: 1.82

16.
# GGA-PBE Pr3GdNi, relaxed
data_Pr3GdNi
_chemical_formula_sum 'Pr3 Gd1 Ni1'
_space_group_name_H-M_alt 'P m -3 m'
_space_group_IT_number 221
_space_group_name_Hall '-P 4 2 3'
_cell_length_a 5.525
_cell_length_b 5.525
_cell_length_c 5.525
_cell_angle_alpha 90.00
_cell_angle_beta 90.00
_cell_angle_gamma 90.00
loop_
_atom_site_label
_atom_site_fract_x
_atom_site_fract_y
_atom_site_fract_z
Pr1 0.000 0.000 0.500
Gd1 0.500 0.500 0.500
Ni1 0.000 0.000 0.000
# Calculated density in g cm⁻³: 6.29
# Energy of formation from the pure elements in meV/atom: 38.6
# Density of states at the Fermi level in states/eV/atom: 1.87

17.
# GGA-PBE PrGdNi, relaxed
data_PrGdNi
_chemical_formula_sum 'Pr2 Gd2 Ni2'
_space_group_name_H-M_alt 'I 4 m m'
_space_group_IT_number 107
_space_group_name_Hall 'I 4 -2'
_cell_length_a 3.497
_cell_length_b 3.497
_cell_length_c 12.755
_cell_angle_alpha 90.00
_cell_angle_beta 90.00
_cell_angle_gamma 90.00
loop_
_atom_site_label
_atom_site_fract_x
_atom_site_fract_y
_atom_site_fract_z
Pr1 0.000 0.000 0.000
Gd1 0.000 0.000 0.740
Ni1 0.000 0.000 0.359
# Calculated density in g cm⁻³: 7.60
# ΔE to the lowest computed polymorph in kcal/mol of atoms: 0.00
# Energy of formation from the pure elements in meV/atom: -156.9
# Density of states at the Fermi level in states/eV/atom: 1.33

18.
# GGA-PBE PrGdNi, relaxed
data_PrGdNi
_chemical_formula_sum 'Pr4 Gd4 Ni4'
_space_group_name_H-M_alt 'F -4 3 m'
_space_group_IT_number 216
_space_group_name_Hall 'F -4 2 3'
_cell_length_a 6.877
_cell_length_b 6.877
_cell_length_c 6.877
_cell_angle_alpha 90.00
_cell_angle_beta 90.00
_cell_angle_gamma 90.00
loop_
_atom_site_label
_atom_site_fract_x
_atom_site_fract_y
_atom_site_fract_z
Pr1 0.000 0.000 0.000
Gd1 0.000 0.000 0.500
Ni1 0.250 0.250 0.250
# Calculated density in g cm⁻³: 7.29
# ΔE to the lowest computed polymorph in kcal/mol of atoms: 1.86
# Energy of formation from the pure elements in meV/atom: -76.4
# Density of states at the Fermi level in states/eV/atom: 1.43

19.
# GGA-PBE PrGdNi4, relaxed
data_PrGdNi4
_chemical_formula_sum 'Pr4 Gd4 Ni16'
_space_group_name_H-M_alt 'F -4 3 m'
_space_group_IT_number 216
_space_group_name_Hall 'F -4 2 3'
_cell_length_a 7.281
_cell_length_b 7.281
_cell_length_c 7.281
_cell_angle_alpha 90.00
_cell_angle_beta 90.00
_cell_angle_gamma 90.00
loop_
_atom_site_label
_atom_site_fract_x
_atom_site_fract_y
_atom_site_fract_z
Pr1 0.000 0.000 0.000
Gd1 0.250 0.250 0.250
Ni1 0.124 0.124 0.624
# Calculated density in g cm⁻³: 9.17
# Energy of formation from the pure elements in meV/atom: -345.3
# Density of states at the Fermi level in states/eV/atom: 0.74

20.
# GGA-PBE PrGd2Ni, relaxed
data_PrGd2Ni
_chemical_formula_sum 'Pr1 Gd2 Ni1'
_space_group_name_H-M_alt 'P 4/m m m'
_space_group_IT_number 123
_space_group_name_Hall '-P 4 2'
_cell_length_a 3.488
_cell_length_b 3.488
_cell_length_c 8.945
_cell_angle_alpha 90.00
_cell_angle_beta 90.00
_cell_angle_gamma 90.00
loop_
_atom_site_label
_atom_site_fract_x
_atom_site_fract_y
_atom_site_fract_z
Pr1 0.000 0.000 0.000
Gd1 0.500 0.500 0.319
Ni1 0.000 0.000 0.500
# Calculated density in g cm⁻³: 7.84
# ΔE to the lowest computed polymorph in kcal/mol of atoms: 0.00
# Energy of formation from the pure elements in meV/atom: -151.9
# Density of states at the Fermi level in states/eV/atom: 1.16